{"formula": "CuOsPd", "functional": "GGA-PBE", "state": "optimized geometry", "lattice": [[-1.3184, -2.3635, -3.7230], [1.3516, -2.1343, -3.8475], [0.7488, -8.9392, -0.3975]], "species": ["Os", "Os", "Pd", "Pd", "Cu", "Cu"], "fractional_positions": [[0.4774, 0.4774, 0.2152], [0.2758, 0.2758, 0.0922], [0.1085, 0.1085, 0.9014], [0.6447, 0.6447, 0.4060], [0.2879, 0.2879, 0.5630], [0.4653, 0.4653, 0.7443]], "m_tot_mub_per_atom": 0.00, "e_tot_ev_per_atom": -6.55}